ReNiOs: optimized geometry, PBE-GGA.

a b c (Å): 3.8319 3.8212 5.8805
angles (deg): 90.00 109.01 90.00
With the nearest neighbours (Å) after each atom.
Positions (direct):
Re 0.0868 0.2500 0.1736  4 Os 2.60-2.68, 6 Ni 2.68-2.71, 2 Re 2.72
Re 0.9132 0.7500 0.8264  4 Os 2.60-2.68, 6 Ni 2.68-2.71, 2 Re 2.72
Ni 0.5811 0.7500 0.1623  2 Ni 2.63, 4 Os 2.64-2.73, 6 Re 2.68-2.71
Ni 0.4189 0.2500 0.8377  2 Ni 2.63, 4 Os 2.64-2.73, 6 Re 2.68-2.71
Os 0.2556 0.7500 0.5113  4 Re 2.60-2.68, 4 Ni 2.64-2.73, 4 Os 2.71
Os 0.7444 0.2500 0.4887  4 Re 2.60-2.68, 4 Ni 2.64-2.73, 4 Os 2.71

DOS at the Fermi energy = 4.4 states/eV/cell
total magnetization = 0.000 μB per atom
crystal system = orthorhombic
total DFT energy (no corrections) = -58.53 eV per cell

---

Sr6PdRh: optimized geometry, PBE-GGA.

a b c (Å): 7.4619 7.4658 7.3873
angles (deg): 59.65 81.14 72.25
With the nearest neighbours (Å) after each atom.
Positions (direct):
Sr 0.2549 0.9016 0.6806  1 Rh 2.96, 1 Pd 3.04
Sr 0.2559 0.2520 0.0000  1 Rh 2.97, 1 Pd 3.06
Sr 0.2549 0.5823 0.3194  1 Rh 2.96, 1 Pd 3.04
Sr 0.7441 0.7480 0.0000  1 Rh 2.97, 1 Pd 3.06
Sr 0.7451 0.0984 0.3194  1 Rh 2.96, 1 Pd 3.04
Sr 0.7451 0.4177 0.6806  1 Rh 2.96, 1 Pd 3.04
Pd 0.0000 0.0000 0.0000  6 Sr 3.04-3.06
Rh 0.5000 0.5000 0.0000  6 Sr 2.96-2.97

DOS at the Fermi energy = 4.1 states/eV/cell
total magnetization = 0.000 μB per atom
crystal system = monoclinic
total DFT energy (no corrections) = -24.94 eV per cell

---

Ho3TmPb2C: optimized geometry, PBE-GGA.

a b c (Å): 4.7647 4.7994 8.6920
angles (deg): 106.03 105.91 90.00
With the nearest neighbours (Å) after each atom.
Positions (direct):
Ho 0.1567 0.1567 0.3134  1 C 2.51
Ho 0.8433 0.8433 0.6866  1 C 2.51
Ho 0.0000 0.5000 0.0000  2 C 2.40
Pb 0.3577 0.3577 0.7154  7 Ho 3.22-3.39, 2 Tm 3.31
Pb 0.6423 0.6423 0.2846  7 Ho 3.22-3.39, 2 Tm 3.31
Tm 0.5000 0.0000 0.0000  2 C 2.38
C 0.0000 0.0000 0.0000  2 Tm 2.38, 4 Ho 2.40-2.51

DOS at the Fermi energy = 0.7 states/eV/cell
total magnetization = 0.000 μB per atom
crystal system = orthorhombic
total DFT energy (no corrections) = -38.82 eV per cell

---

Li2Ta: optimized geometry, PBE-GGA.

a b c (Å): 5.9395 5.9395 7.2654
angles (deg): 73.57 73.57 26.39
With the nearest neighbours (Å) after each atom.
Positions (direct):
Li 0.3303 0.3303 0.3456  7 Li 2.71-2.96, 3 Ta 3.00-3.02
Li 0.6625 0.6625 0.6788  7 Li 2.71-3.03
Li 0.3954 0.3954 0.7085  4 Li 2.71-3.03
Li 0.9906 0.9906 0.0104  6 Li 2.71-2.97, 1 Ta 2.92
Ta 0.7189 0.7189 0.0661  4 Ta 2.68-2.71
Ta 0.0690 0.0690 0.3573  4 Ta 2.68-2.71, 2 Li 2.92-3.00

DOS at the Fermi energy = 3.5 states/eV/cell
total magnetization = 0.000 μB per atom
crystal system = monoclinic
total DFT energy (no corrections) = -29.03 eV per cell

---

PaTe6Au: optimized geometry, PBE-GGA.

a b c (Å): 5.8941 5.8941 7.6565
angles (deg): 98.34 98.34 96.07
With the nearest neighbours (Å) after each atom.
Positions (direct):
Te 0.8326 0.4740 0.7983  1 Au 2.82, 2 Te 2.95-3.14
Te 0.4740 0.8326 0.7983  1 Au 2.82, 2 Te 2.95-3.14
Te 0.1731 0.1731 0.6892  2 Te 2.95, 1 Pa 2.99, 1 Au 3.22
Te 0.5260 0.1674 0.2017  1 Au 2.82, 2 Te 2.95-3.14
Te 0.1674 0.5260 0.2017  1 Au 2.82, 2 Te 2.95-3.14
Te 0.8269 0.8269 0.3108  2 Te 2.95, 1 Pa 2.99, 1 Au 3.22
Au 0.5000 0.5000 0.5000  4 Te 2.82
Pa 0.0000 0.0000 0.0000  6 Te 2.99-3.24

DOS at the Fermi energy = 3.5 states/eV/cell
total magnetization = 0.000 μB per atom
crystal system = monoclinic
total DFT energy (no corrections) = -33.64 eV per cell

---

AcErAg2S4: optimized geometry, PBE-GGA.

a b c (Å): 6.8122 6.3600 6.3600
angles (deg): 67.23 57.62 57.62
With the nearest neighbours (Å) after each atom.
Positions (direct):
Ag 0.1768 0.3232 0.3232  4 S 2.48-2.72
Ag 0.8232 0.6768 0.6768  4 S 2.48-2.72
S 0.1040 0.9010 0.4562  2 Ag 2.48-2.72, 1 Er 2.60
S 0.4612 0.0990 0.5438  2 Ag 2.48-2.72, 1 Er 2.60
S 0.5388 0.4562 0.9010  2 Ag 2.48-2.72, 1 Er 2.60
S 0.8960 0.5438 0.0990  2 Ag 2.48-2.72, 1 Er 2.60
Ac 0.0000 0.0000 0.0000  8 S 3.10-3.38
Er 0.5000 0.5000 0.5000  4 S 2.60

total magnetization = 0.000 μB per atom
crystal system = orthorhombic
total DFT energy (no corrections) = -40.75 eV per cell

---

Please write out number 2 again, unchanged.
Sr6PdRh: optimized geometry, PBE-GGA.

a b c (Å): 7.4619 7.4658 7.3873
angles (deg): 59.65 81.14 72.25
With the nearest neighbours (Å) after each atom.
Positions (direct):
Sr 0.2549 0.9016 0.6806  1 Rh 2.96, 1 Pd 3.04
Sr 0.2559 0.2520 0.0000  1 Rh 2.97, 1 Pd 3.06
Sr 0.2549 0.5823 0.3194  1 Rh 2.96, 1 Pd 3.04
Sr 0.7441 0.7480 0.0000  1 Rh 2.97, 1 Pd 3.06
Sr 0.7451 0.0984 0.3194  1 Rh 2.96, 1 Pd 3.04
Sr 0.7451 0.4177 0.6806  1 Rh 2.96, 1 Pd 3.04
Pd 0.0000 0.0000 0.0000  6 Sr 3.04-3.06
Rh 0.5000 0.5000 0.0000  6 Sr 2.96-2.97

DOS at the Fermi energy = 4.1 states/eV/cell
total magnetization = 0.000 μB per atom
crystal system = monoclinic
total DFT energy (no corrections) = -24.94 eV per cell